[1]
The following is a PBE calculation of FeRe2Si after structural relaxation, from Alexandria.

a b c (Å): 3.6944 3.6944 7.7478
angles (deg): 90.00 90.00 90.00
Space group I4/mmm (No. 139)
Inequivalent atoms, fractional coordinates:
Fe  0.0000  0.0000  0.0000
Re  0.0000  0.5000  0.2500
Si  0.0000  0.0000  0.5000

Computed properties:
Formation energy without anion corrections, eV/atom: 0.06

=====

[2]
The following is a PBE calculation of SmThBr5 after structural relaxation, from Alexandria.

a b c (Å): 8.7642 3.9416 13.8578
angles (deg): 90.00 94.28 90.00
Space group P2_1/m (No. 11)
Inequivalent atoms, fractional coordinates:
Sm  0.0794  0.2500  0.1584
Th  0.3903  0.7500  0.3554
Br  0.1399  0.2500  0.3737
Br  0.1403  0.2500  0.7879
Br  0.1764  0.7500  0.0175
Br  0.3577  0.7500  0.5758
Br  0.4241  0.2500  0.1962

Computed properties:
Formation energy without anion corrections, eV/atom: -1.62

=====

[3]
The following is a PBE calculation of PmHo4Ag after structural relaxation, from Alexandria.

a b c (Å): 3.5611 3.5611 13.8551
angles (deg): 90.00 90.00 90.00
Space group P4/mmm (No. 123)
Inequivalent atoms, fractional coordinates:
Pm  0.0000  0.0000  0.0000
Ho  0.0000  0.0000  0.3640
Ho  0.5000  0.5000  0.1830
Ag  0.5000  0.5000  0.5000

Computed properties:
Energy above the lowest structure with this stoichiometry, eV per atom: 0.000
ΔH_f (0 K), eV per atom: -0.08

=====

[4]
The following is a PBE calculation of DyTh2N3 after structural relaxation, from Alexandria.

a b c (Å): 7.2048 10.1866 21.6306
angles (deg): 90.00 90.00 90.00
Space group Fddd (No. 70, origin choice 2)
Inequivalent atoms, fractional coordinates:
Dy  0.1250  0.1250  0.0418
Th  0.1250  0.1250  0.3741
Th  0.1250  0.1250  0.5411
N  0.1193  0.3750  0.3750
N  0.1221  0.3724  0.2093

Computed properties:
Formation energy without anion corrections, eV/atom: -1.60

=====

no.,total magnetic moment (μB/f.u.)
1,0.0
2,0.0
3,0.0
4,0.0